Model i:
The following is a DFT calculation (PBE-GGA) of a relaxed structure of Ca4InPb.

a b c (Å): 9.487 9.487 9.487
angles (deg): 90.00 90.00 90.00
Space group F-43m (No. 216)
Unique sites:
Ca1 0.125 0.125 0.125
In1 0.250 0.250 0.750
Pb1 0.000 0.000 0.500

Values from the calculation:
Volume: 213 Å³/f.u.

Model ii:
The following is a DFT calculation (PBE-GGA) of a relaxed structure of Ca4InPb.

a b c (Å): 14.343 3.811 7.682
angles (deg): 90.00 105.59 90.00
Space group C2/m (No. 12)
Unique sites:
Ca1 0.143 0.000 0.320
Ca2 0.143 0.000 0.823
In1 0.000 0.500 0.000
Pb1 0.000 0.500 0.500

Values from the calculation:
Volume: 202 Å³/f.u.

So which one is most stable? That would be model ii, about 47.5 kJ/mol of atoms below the next structure.

Model i:
The following is a DFT calculation (PBE-GGA) of a relaxed structure of Ca8In2Pb.

a b c (Å): 18.872 5.462 7.773
angles (deg): 90.00 111.63 90.00
Space group C2/m (No. 12)
Unique sites:
Ca1 0.024 0.000 0.273
Ca2 0.099 0.500 0.951
Ca3 0.168 0.500 0.447
Ca4 0.196 0.000 0.788
In1 0.180 0.000 0.187
Pb1 0.000 0.500 0.500

Values from the calculation:
Volume: 372 Å³/f.u.

Model ii:
The following is a DFT calculation (PBE-GGA) of a relaxed structure of Ca8In2Pb.

a b c (Å): 5.451 8.187 16.338
angles (deg): 90.00 90.00 90.00
Space group Immm (No. 71)
Unique sites:
Ca1 0.000 0.000 0.164
Ca2 0.000 0.224 0.346
Ca3 0.000 0.291 0.000
In1 0.000 0.500 0.187
Pb1 0.000 0.500 0.500

Values from the calculation:
Volume: 365 Å³/f.u.

So which one is most stable? That would be model i, about 3.6 kJ/mol of atoms below the next structure.

Model i:
The following is a DFT calculation (PBE-GGA) of a relaxed structure of CaPmInPb.

a b c (Å): 4.509 5.081 5.093
angles (deg): 90.00 90.00 90.00
Space group Pmmm (No. 47)
Unique sites:
Ca1 0.000 0.000 0.000
Pm1 0.000 0.500 0.500
In1 0.500 0.500 0.000
Pb1 0.500 0.000 0.500

Values from the calculation:
Volume: 117 Å³/f.u.

Model ii:
The following is a DFT calculation (PBE-GGA) of a relaxed structure of CaPmInPb.

a b c (Å): 7.789 7.789 7.789
angles (deg): 90.00 90.00 90.00
Space group F-43m (No. 216)
Unique sites:
Ca1 0.000 0.000 0.000
Pm1 0.000 0.000 0.500
In1 0.250 0.250 0.750
Pb1 0.250 0.250 0.250

Values from the calculation:
Volume: 118 Å³/f.u.

So which one is most stable? That would be model i, about 3.7 kJ/mol of atoms below the next structure.

Model i:
The following is a DFT calculation (PBE-GGA) of a relaxed structure of CaPuInPb.

a b c (Å): 3.656 5.569 5.674
angles (deg): 90.00 90.00 90.00
Space group Pmmm (No. 47)
Unique sites:
Ca1 0.000 0.000 0.000
Pu1 0.000 0.500 0.500
In1 0.500 0.000 0.500
Pb1 0.500 0.500 0.000

Values from the calculation:
Volume: 116 Å³/f.u.

Model ii:
The following is a DFT calculation (PBE-GGA) of a relaxed structure of CaPuInPb.

a b c (Å): 7.747 7.747 7.747
angles (deg): 90.00 90.00 90.00
Space group F-43m (No. 216)
Unique sites:
Ca1 0.000 0.000 0.000
Pu1 0.000 0.000 0.500
In1 0.250 0.250 0.250
Pb1 0.250 0.250 0.750

Values from the calculation:
Volume: 116 Å³/f.u.

So which one is most stable? That would be model i, about 1.0 kJ/mol of atoms below the next structure.

Model i:
The following is a DFT calculation (PBE-GGA) of a relaxed structure of Ca2In2Pd.

a b c (Å): 7.292 7.292 4.981
angles (deg): 90.00 90.00 90.00
Space group P4/mbm (No. 127)
Unique sites:
Ca1 0.171 0.329 0.000
In1 0.141 0.641 0.500
Pd1 0.000 0.000 0.500

Values from the calculation:
Volume: 132 Å³/f.u.

Model ii:
The following is a DFT calculation (PBE-GGA) of a relaxed structure of Ca2In2Pd.

a b c (Å): 7.601 7.601 4.988
angles (deg): 90.00 90.00 90.00
Space group P4/mbm (No. 127)
Unique sites:
Ca1 0.164 0.336 0.000
In1 0.147 0.647 0.500
Pd1 0.000 0.000 0.000

Values from the calculation:
Volume: 144 Å³/f.u.

Model iii:
The following is a DFT calculation (PBE-GGA) of a relaxed structure of Ca2In2Pd.

a b c (Å): 4.016 4.016 17.940
angles (deg): 90.00 90.00 90.00
Space group I4/mmm (No. 139)
Unique sites:
Ca1 0.000 0.000 0.092
In1 0.000 0.500 0.250
Pd1 0.000 0.000 0.500

Values from the calculation:
Volume: 145 Å³/f.u.

So which one is most stable? That would be model i, about 22.5 kJ/mol of atoms below the next structure.

Model i:
The following is a DFT calculation (PBE-GGA) of a relaxed structure of CaInPd3.

a b c (Å): 4.989 4.989 4.989
angles (deg): 90.00 90.00 90.00
Space group Pm-3m (No. 221)
Unique sites:
Ca1 0.000 0.000 0.000
In1 0.500 0.500 0.500
Pd1 0.000 0.500 0.500

Values from the calculation:
Volume: 124 Å³/f.u.

Model ii:
The following is a DFT calculation (PBE-GGA) of a relaxed structure of CaInPd3.

a b c (Å): 6.597 14.162 5.068
angles (deg): 90.00 90.00 90.00
Space group Cmcm (No. 63)
Unique sites:
Ca1 0.000 0.090 0.250
In1 0.000 0.333 0.250
Pd1 0.000 0.500 0.000
Pd2 0.195 0.291 0.750

Values from the calculation:
Volume: 118 Å³/f.u.

Model iii:
The following is a DFT calculation (PBE-GGA) of a relaxed structure of CaInPd3.

a b c (Å): 4.926 4.926 4.926
angles (deg): 90.00 90.00 90.00
Space group Pm-3m (No. 221)
Unique sites:
Ca1 0.000 0.000 0.000
In1 0.500 0.500 0.500
Pd1 0.000 0.000 0.500

Values from the calculation:
Volume: 120 Å³/f.u.

So which one is most stable? That would be model ii, about 13.9 kJ/mol of atoms below the next structure.

Model i:
The following is a DFT calculation (PBE-GGA) of a relaxed structure of CaInPd6.

a b c (Å): 5.8137 5.8137 4.6518
angles (deg): 90.00 90.00 120.00
Space group P-6m2 (No. 187)
Unique sites:
Ca1 0.0000 0.0000 0.0000
In1 0.6667 0.3333 0.5000
Pd1 0.0017 0.5008 0.0000
Pd2 0.1724 0.3447 0.5000

Values from the calculation:
Volume: 136 Å³/f.u.

Model ii:
The following is a DFT calculation (PBE-GGA) of a relaxed structure of CaInPd6.

a b c (Å): 5.197 5.197 5.197
angles (deg): 90.00 90.00 90.00
Space group Pm-3 (No. 200)
Unique sites:
Ca1 0.000 0.000 0.000
In1 0.500 0.500 0.500
Pd1 0.000 0.252 0.500

Values from the calculation:
Volume: 140 Å³/f.u.

So which one is most stable? That would be model i, about 15.3 kJ/mol of atoms below the next structure.

Model i:
The following is a DFT calculation (PBE-GGA) of a relaxed structure of CaIn3Pd2.

a b c (Å): 6.6623 6.6623 20.5938
angles (deg): 90.00 90.00 120.00
Space group R-3m (No. 166, hexagonal axes)
Unique sites:
Ca1 0.0000 0.0000 0.2274
In1 0.0065 0.5032 0.2343
Pd1 0.0000 0.0000 0.0000
Pd2 0.0000 0.5000 0.0000

Values from the calculation:
Volume: 132 Å³/f.u.

Model ii:
The following is a DFT calculation (PBE-GGA) of a relaxed structure of CaIn3Pd2.

a b c (Å): 18.061 4.432 10.989
angles (deg): 90.00 109.96 90.00
Space group C2/m (No. 12)
Unique sites:
Ca1 0.000 0.000 0.000
Ca2 0.161 0.000 0.705
In1 0.000 0.500 0.500
In2 0.039 0.000 0.343
In3 0.122 0.500 0.190
In4 0.175 0.500 0.960
In5 0.217 0.000 0.392
Pd1 0.028 0.500 0.786
Pd2 0.135 0.500 0.449
Pd3 0.202 0.000 0.134

Values from the calculation:
Volume: 138 Å³/f.u.

So which one is most stable? That would be model ii, about 11.8 kJ/mol of atoms below the next structure.

Model i:
The following is a DFT calculation (PBE-GGA) of a relaxed structure of Ca2PmIn.

a b c (Å): 3.6971 3.6971 34.5865
angles (deg): 90.00 90.00 120.00
Space group R3m (No. 160, hexagonal axes)
Unique sites:
Ca1 0.0000 0.0000 0.0000
Ca2 0.0000 0.0000 0.1841
Pm1 0.0000 0.0000 0.4261
In1 0.0000 0.0000 0.5920

Values from the calculation:
Volume: 136 Å³/f.u.

Model ii:
The following is a DFT calculation (PBE-GGA) of a relaxed structure of Ca2PmIn.

a b c (Å): 4.914 4.914 5.293
angles (deg): 90.00 90.00 90.00
Space group P4/mmm (No. 123)
Unique sites:
Ca1 0.000 0.500 0.000
Pm1 0.000 0.000 0.500
In1 0.500 0.500 0.500

Values from the calculation:
Volume: 128 Å³/f.u.

Model iii:
The following is a DFT calculation (PBE-GGA) of a relaxed structure of Ca2PmIn.

a b c (Å): 4.162 4.162 7.588
angles (deg): 90.00 90.00 90.00
Space group P4/mmm (No. 123)
Unique sites:
Ca1 0.000 0.000 0.226
Pm1 0.500 0.500 0.500
In1 0.500 0.500 0.000

Values from the calculation:
Volume: 131 Å³/f.u.

Model iv:
The following is a DFT calculation (PBE-GGA) of a relaxed structure of Ca2PmIn.

a b c (Å): 8.016 8.016 8.016
angles (deg): 90.00 90.00 90.00
Space group Fm-3m (No. 225)
Unique sites:
Ca1 0.250 0.250 0.250
Pm1 0.000 0.000 0.000
In1 0.000 0.000 0.500

Values from the calculation:
Volume: 129 Å³/f.u.

So which one is most stable? That would be model ii, about 11.1 kJ/mol of atoms below the next structure.

Model i:
The following is a DFT calculation (PBE-GGA) of a relaxed structure of CaPrIn.

a b c (Å): 9.336 5.394 7.840
angles (deg): 90.00 90.06 90.00
Space group C2/m (No. 12)
Unique sites:
Ca1 0.167 0.000 0.379
Pr1 0.166 0.000 0.897
In1 0.000 0.500 0.215

Values from the calculation:
Volume: 99 Å³/f.u.

Model ii:
The following is a DFT calculation (PBE-GGA) of a relaxed structure of CaPrIn.

a b c (Å): 3.741 3.741 14.134
angles (deg): 90.00 90.00 90.00
Space group I4mm (No. 107)
Unique sites:
Ca1 0.000 0.000 0.000
Pr1 0.000 0.000 0.288
In1 0.000 0.000 0.645

Values from the calculation:
Volume: 99 Å³/f.u.

So which one is most stable? That would be model ii, about 3.3 kJ/mol of atoms below the next structure.